[1]
# PBE La3Si2Ge, optimized geometry
data_La3Si2Ge
_chemical_formula_sum 'La12 Si8 Ge4'
_cell_length_a 12.237
_cell_length_b 4.266
_cell_length_c 12.230
_cell_angle_alpha 90.00
_cell_angle_beta 90.00
_cell_angle_gamma 90.00
_symmetry_space_group_name_H-M 'P n m a'
_symmetry_Int_Tables_number 62
loop_
_symmetry_equiv_pos_as_xyz
'x,y,z'
'-x,-y,-z'
'-x+1/2,-y,z+1/2'
'x+1/2,y,-z+1/2'
'x+1/2,-y+1/2,-z+1/2'
'-x+1/2,y+1/2,z+1/2'
'-x,y+1/2,-z'
'x,-y+1/2,z'
loop_
_atom_site_label
_atom_site_type_symbol
_atom_site_fract_x
_atom_site_fract_y
_atom_site_fract_z
La1 La 0.061 0.250 0.119
La2 La 0.118 0.750 0.558
La3 La 0.201 0.250 0.795
Si1 Si 0.026 0.750 0.311
Si2 Si 0.195 0.750 0.990
Ge1 Ge 0.132 0.250 0.368
# Crystal system: orthorhombic
# Formation energy from raw total energies, meV/atom: -661
# Density of states at the Fermi level, states/eV/f.u.: 4.2
# Calculated volume, Å³/f.u.: 159.6
# Final energy, eV per atom: -5.70

---

[2]
# PBE LaSmSiGe, optimized geometry
data_LaSmSiGe
_chemical_formula_sum 'La2 Sm2 Si2 Ge2'
_cell_length_a 4.014
_cell_length_b 4.516
_cell_length_c 11.100
_cell_angle_alpha 90.00
_cell_angle_beta 90.00
_cell_angle_gamma 90.00
_symmetry_space_group_name_H-M 'A m m 2'
_symmetry_Int_Tables_number 38
loop_
_symmetry_equiv_pos_as_xyz
'x,y,z'
'-x,-y,z'
'-x,y,z'
'x,-y,z'
'x,y+1/2,z+1/2'
'-x,-y+1/2,z+1/2'
'-x,y+1/2,z+1/2'
'x,-y+1/2,z+1/2'
loop_
_atom_site_label
_atom_site_type_symbol
_atom_site_fract_x
_atom_site_fract_y
_atom_site_fract_z
La1 La 0.000 0.000 0.000
Sm1 Sm 0.500 0.000 0.278
Si1 Si 0.000 0.000 0.720
Ge1 Ge 0.500 0.000 0.568
# Crystal system: orthorhombic
# Formation energy from raw total energies, meV/atom: -787
# Density of states at the Fermi level, states/eV/f.u.: 3.5
# Calculated volume, Å³/f.u.: 100.6
# Final energy, eV per atom: -5.71

---

[3]
# PBE Sr2LaSiGe, optimized geometry
data_Sr2LaSiGe
_chemical_formula_sum 'Sr2 La1 Si1 Ge1'
_cell_length_a 6.057
_cell_length_b 6.057
_cell_length_c 4.871
_cell_angle_alpha 90.00
_cell_angle_beta 90.00
_cell_angle_gamma 90.00
_symmetry_space_group_name_H-M 'P 4/m m m'
_symmetry_Int_Tables_number 123
_symmetry_space_group_name_Hall '-P 4 2'
loop_
_atom_site_label
_atom_site_type_symbol
_atom_site_fract_x
_atom_site_fract_y
_atom_site_fract_z
Sr1 Sr 0.000 0.500 0.000
La1 La 0.000 0.000 0.500
Si1 Si 0.500 0.500 0.500
Ge1 Ge 0.500 0.500 0.000
# Crystal system: tetragonal
# Formation energy from raw total energies, meV/atom: 267
# Density of states at the Fermi level, states/eV/f.u.: 6.8
# Calculated volume, Å³/f.u.: 178.7
# Final energy, eV per atom: -3.40

---

[4]
# PBE LaSiTc2Ge2, optimized geometry
data_LaSiTc2Ge2
_chemical_formula_sum 'La1 Si1 Tc2 Ge2'
_cell_length_a 4.511
_cell_length_b 4.511
_cell_length_c 5.698
_cell_angle_alpha 90.00
_cell_angle_beta 90.00
_cell_angle_gamma 90.00
_symmetry_space_group_name_H-M 'P 4/m m m'
_symmetry_Int_Tables_number 123
_symmetry_space_group_name_Hall '-P 4 2'
loop_
_atom_site_label
_atom_site_type_symbol
_atom_site_fract_x
_atom_site_fract_y
_atom_site_fract_z
La1 La 0.000 0.000 0.000
Si1 Si 0.000 0.000 0.500
Tc1 Tc 0.000 0.500 0.500
Ge1 Ge 0.500 0.500 0.235
# Crystal system: tetragonal
# Formation energy from raw total energies, meV/atom: -311
# Density of states at the Fermi level, states/eV/f.u.: 3.9
# Calculated volume, Å³/f.u.: 115.9
# Final energy, eV per atom: -7.03

---

[5]
# PBE LaSmGe2, optimized geometry
data_LaSmGe2
_chemical_formula_sum 'La2 Sm2 Ge4'
_cell_length_a 4.089
_cell_length_b 4.521
_cell_length_c 11.171
_cell_angle_alpha 90.00
_cell_angle_beta 90.00
_cell_angle_gamma 90.00
_symmetry_space_group_name_H-M 'A m m 2'
_symmetry_Int_Tables_number 38
loop_
_symmetry_equiv_pos_as_xyz
'x,y,z'
'-x,-y,z'
'-x,y,z'
'x,-y,z'
'x,y+1/2,z+1/2'
'-x,-y+1/2,z+1/2'
'-x,y+1/2,z+1/2'
'x,-y+1/2,z+1/2'
loop_
_atom_site_label
_atom_site_type_symbol
_atom_site_fract_x
_atom_site_fract_y
_atom_site_fract_z
La1 La 0.000 0.000 0.000
Sm1 Sm 0.500 0.000 0.725
Ge1 Ge 0.000 0.000 0.278
Ge2 Ge 0.500 0.000 0.439
# E above lowest polymorph, meV/atom: 0
# Crystal system: orthorhombic
# Density of states at the Fermi level, states/eV/f.u.: 3.4
# Calculated volume, Å³/f.u.: 103.3
# ΔH_f (0 K), eV per atom: -0.840
# Final energy, eV per atom: -5.56

---

[6]
# PBE La3Sm3Ge4, optimized geometry
data_La3Sm3Ge4
_chemical_formula_sum 'La6 Sm6 Ge8'
_cell_length_a 4.464
_cell_length_b 11.159
_cell_length_c 11.111
_cell_angle_alpha 90.00
_cell_angle_beta 90.00
_cell_angle_gamma 90.00
_symmetry_space_group_name_H-M 'A m m 2'
_symmetry_Int_Tables_number 38
loop_
_symmetry_equiv_pos_as_xyz
'x,y,z'
'-x,-y,z'
'-x,y,z'
'x,-y,z'
'x,y+1/2,z+1/2'
'-x,-y+1/2,z+1/2'
'-x,y+1/2,z+1/2'
'x,-y+1/2,z+1/2'
loop_
_atom_site_label
_atom_site_type_symbol
_atom_site_fract_x
_atom_site_fract_y
_atom_site_fract_z
La1 La 0.000 0.000 0.000
La2 La 0.000 0.175 0.672
Sm1 Sm 0.000 0.000 0.348
Sm2 Sm 0.500 0.250 0.423
Ge1 Ge 0.500 0.000 0.548
Ge2 Ge 0.500 0.000 0.792
Ge3 Ge 0.500 0.119 0.177
# Crystal system: orthorhombic
# Density of states at the Fermi level, states/eV/f.u.: 11.2
# Calculated volume, Å³/f.u.: 276.8
# ΔH_f (0 K), eV per atom: -0.760
# Final energy, eV per atom: -5.50

---

[7]
# PBE LaSm2Ge2, optimized geometry
data_LaSm2Ge2
_chemical_formula_sum 'La2 Sm4 Ge4'
_cell_length_a 7.954
_cell_length_b 7.954
_cell_length_c 4.235
_cell_angle_alpha 90.00
_cell_angle_beta 90.00
_cell_angle_gamma 90.00
_symmetry_space_group_name_H-M 'P 4/m b m'
_symmetry_Int_Tables_number 127
_symmetry_space_group_name_Hall '-P 4 2ab'
loop_
_atom_site_label
_atom_site_type_symbol
_atom_site_fract_x
_atom_site_fract_y
_atom_site_fract_z
La1 La 0.000 0.000 0.000
Sm1 Sm 0.172 0.328 0.500
Ge1 Ge 0.120 0.620 0.000
# E above lowest polymorph, meV/atom: 0
# Crystal system: tetragonal
# Density of states at the Fermi level, states/eV/f.u.: 6.0
# Calculated volume, Å³/f.u.: 134.0
# ΔH_f (0 K), eV per atom: -0.713
# Final energy, eV per atom: -5.43

---

[8]
# PBE LaSmGe2, optimized geometry
data_LaSmGe2
_chemical_formula_sum 'La2 Sm2 Ge4'
_cell_length_a 4.098
_cell_length_b 6.023
_cell_length_c 8.346
_cell_angle_alpha 90.00
_cell_angle_beta 90.00
_cell_angle_gamma 90.00
_symmetry_space_group_name_H-M 'P m c 21'
_symmetry_Int_Tables_number 26
loop_
_symmetry_equiv_pos_as_xyz
'x,y,z'
'-x,-y,z+1/2'
'-x,y,z'
'x,-y,z+1/2'
loop_
_atom_site_label
_atom_site_type_symbol
_atom_site_fract_x
_atom_site_fract_y
_atom_site_fract_z
La1 La 0.000 0.132 0.000
Sm1 Sm 0.500 0.368 0.637
Ge1 Ge 0.000 0.391 0.358
Ge2 Ge 0.500 0.120 0.282
# E above lowest polymorph, meV/atom: 0
# Crystal system: orthorhombic
# Density of states at the Fermi level, states/eV/f.u.: 3.2
# Calculated volume, Å³/f.u.: 103.0
# ΔH_f (0 K), eV per atom: -0.840
# Final energy, eV per atom: -5.56

---

[9]
# PBE LaSm2Ge, optimized geometry
data_LaSm2Ge
_chemical_formula_sum 'La3 Sm6 Ge3'
_cell_length_a 3.7075
_cell_length_b 3.7075
_cell_length_c 33.3119
_cell_angle_alpha 90.00
_cell_angle_beta 90.00
_cell_angle_gamma 120.00
_symmetry_space_group_name_H-M 'R -3 m'
_symmetry_Int_Tables_number 166
_symmetry_space_group_name_Hall '-R 3 2"'
loop_
_atom_site_label
_atom_site_type_symbol
_atom_site_fract_x
_atom_site_fract_y
_atom_site_fract_z
La1 La 0.0000 0.0000 0.0000
Sm1 Sm 0.0000 0.0000 0.1071
Ge1 Ge 0.0000 0.0000 0.5000
# E above lowest polymorph, meV/atom: 355
# Crystal system: trigonal
# Density of states at the Fermi level, states/eV/f.u.: 5.9
# Calculated volume, Å³/f.u.: 132.2
# ΔH_f (0 K), eV per atom: -0.095
# Final energy, eV per atom: -4.84

---

[10]
# PBE La4SmGe4, optimized geometry
data_La4SmGe4
_chemical_formula_sum 'La8 Sm2 Ge8'
_cell_length_a 9.230
_cell_length_b 9.230
_cell_length_c 6.281
_cell_angle_alpha 90.00
_cell_angle_beta 90.00
_cell_angle_gamma 90.00
_symmetry_space_group_name_H-M 'P 42/n'
_symmetry_Int_Tables_number 86
loop_
_symmetry_equiv_pos_as_xyz
'x,y,z'
'-x,-y,-z'
'-y,x+1/2,z+1/2'
'y,-x+1/2,-z+1/2'
'-x+1/2,-y+1/2,z'
'x+1/2,y+1/2,-z'
'y+1/2,-x,z+1/2'
'-y+1/2,x,-z+1/2'
loop_
_atom_site_label
_atom_site_type_symbol
_atom_site_fract_x
_atom_site_fract_y
_atom_site_fract_z
La1 La 0.046 0.670 0.115
Sm1 Sm 0.250 0.250 0.250
Ge1 Ge 0.015 0.628 0.602
# Crystal system: tetragonal
# Density of states at the Fermi level, states/eV/f.u.: 8.6
# Calculated volume, Å³/f.u.: 267.5
# ΔH_f (0 K), eV per atom: -0.620
# Final energy, eV per atom: -5.39

---

[11]
# PBE LaSm2Ge, optimized geometry
data_LaSm2Ge
_chemical_formula_sum 'La1 Sm2 Ge1'
_cell_length_a 4.843
_cell_length_b 4.843
_cell_length_c 4.715
_cell_angle_alpha 90.00
_cell_angle_beta 90.00
_cell_angle_gamma 90.00
_symmetry_space_group_name_H-M 'P 4/m m m'
_symmetry_Int_Tables_number 123
_symmetry_space_group_name_Hall '-P 4 2'
loop_
_atom_site_label
_atom_site_type_symbol
_atom_site_fract_x
_atom_site_fract_y
_atom_site_fract_z
La1 La 0.000 0.000 0.000
Sm1 Sm 0.000 0.500 0.500
Ge1 Ge 0.500 0.500 0.000
# E above lowest polymorph, meV/atom: 97
# Crystal system: tetragonal
# Density of states at the Fermi level, states/eV/f.u.: 4.6
# Calculated volume, Å³/f.u.: 110.6
# ΔH_f (0 K), eV per atom: -0.352
# Final energy, eV per atom: -5.10